# 1
## KSeIBr2 (PBE)

Data for an optimized crystal structure of KSeIBr2.

Cell lengths 5.692, 5.692, 5.574 Å; angles 90.00, 90.00, 90.00 degrees
Element x y z (fractional)
K: 0.500 0.500 0.500
Br: 0.500 0.000 0.000
Br: 0.000 0.500 0.000
I: 0.000 0.000 0.500
Se: 0.000 0.000 0.000

## Properties
final energy: -12.5 eV per cell
D(E_F): 3.76 states/eV/f.u.
spin magnetization: 0.00 μB per cell

---

# 2
## Ca2HgB (PBE)

Data for an optimized crystal structure of Ca2HgB.

Cell lengths 5.043, 5.043, 5.043 Å; angles 60.00, 60.00, 60.00 degrees
Element x y z (fractional)
Hg: 0.500 0.500 0.500
Ca: 0.750 0.750 0.750
Ca: 0.250 0.250 0.250
B: 0.000 0.000 0.000

## Properties
energy of formation: 0.19 eV per atom
final energy: -10.2 eV per cell
D(E_F): 3.45 states/eV/f.u.
spin magnetization: 0.00 μB per cell

---

Which formula does entry 1 have?
KSeIBr2

---

Number 2 is which compound?
Ca2HgB

---

Look up the final energy of the first one.
-12.5 eV per cell